No. 1
# Dy8Ho6Tm | Alexandria via LeMat-Bulk | GGA-PBE | optimized geometry
# Electronic total energy (eV for the cell shown): -200.52
data_Dy8Ho6Tm
_chemical_formula_sum 'Dy24 Ho18 Tm3'
_cell_length_a 8.9586
_cell_length_b 8.9586
_cell_length_c 20.4279
_cell_angle_alpha 90.00
_cell_angle_beta 90.00
_cell_angle_gamma 120.00
_space_group_name_H-M_alt 'R -3'
_space_group_IT_number 148
_space_group_name_Hall '-R 3'
loop_
_atom_site_label
_atom_site_type_symbol
_atom_site_fract_x
_atom_site_fract_y
_atom_site_fract_z
Dy1 Dy 0.0000 0.0000 0.0768
Dy2 Dy 0.0818 0.5288 0.3080
Ho1 Ho 0.0615 0.8137 0.2071
Tm1 Tm 0.0000 0.0000 0.5000

=====

No. 2
# SrHgRu2 | Alexandria via LeMat-Bulk | GGA-PBE | optimized geometry
# Electronic total energy (eV for the cell shown): -18.38
data_SrHgRu2
_chemical_formula_sum 'Sr1 Hg1 Ru2'
_cell_length_a 4.256
_cell_length_b 4.877
_cell_length_c 4.894
_cell_angle_alpha 90.00
_cell_angle_beta 95.82
_cell_angle_gamma 90.00
_space_group_name_H-M_alt 'P 1 2/m 1'
_space_group_IT_number 10
loop_
_space_group_symop_operation_xyz
'x,y,z'
'-x,-y,-z'
'-x,y,-z'
'x,-y,z'
loop_
_atom_site_label
_atom_site_type_symbol
_atom_site_fract_x
_atom_site_fract_y
_atom_site_fract_z
Sr1 Sr 0.000 0.000 0.000
Hg1 Hg 0.500 0.000 0.500
Ru1 Ru 0.254 0.500 0.610

=====

No. 3
# SrTiBr6 | Alexandria via LeMat-Bulk | GGA-PBE | optimized geometry
# Formation energy (no corrections) (eV per atom): -1.45
data_SrTiBr6
_chemical_formula_sum 'Sr2 Ti2 Br12'
_cell_length_a 7.090
_cell_length_b 12.476
_cell_length_c 6.901
_cell_angle_alpha 90.00
_cell_angle_beta 106.12
_cell_angle_gamma 90.00
_space_group_name_H-M_alt 'C 1 2/m 1'
_space_group_IT_number 12
loop_
_space_group_symop_operation_xyz
'x,y,z'
'-x,-y,-z'
'-x,y,-z'
'x,-y,z'
'x+1/2,y+1/2,z'
'-x+1/2,-y+1/2,-z'
'-x+1/2,y+1/2,-z'
'x+1/2,-y+1/2,z'
loop_
_atom_site_label
_atom_site_type_symbol
_atom_site_fract_x
_atom_site_fract_y
_atom_site_fract_z
Sr1 Sr 0.000 0.000 0.000
Ti1 Ti 0.000 0.500 0.500
Br1 Br 0.196 0.353 0.724
Br2 Br 0.243 0.500 0.296